[1]
Y2SnS2 | PBE | relaxed

Properties
E_tot (eV/cell): -62.1
E_form (uncorrected) (eV/atom): -1.173
Total magnetization (μB per formula unit): 0.94
N(E_F) (states/eV/f.u.): 2.1

Cell lengths 4.5984, 4.5984, 13.1461 Å; angles 90.00, 90.00, 90.00 degrees
Space group I4/mmm (No. 139)
Symmetry-distinct sites (fractional):
Y 0.0000 0.0000 0.1457 (multiplicity 4)
Sn 0.0000 0.0000 0.5000 (multiplicity 2)
S 0.0000 0.5000 0.2500 (multiplicity 4)

[2]
Y5SnS5 | PBE | relaxed

Properties
E_tot (eV/cell): -152.8
E_form (uncorrected) (eV/atom): -1.766
Total magnetization (μB per formula unit): 0.00
N(E_F) (states/eV/f.u.): 2.7

Cell lengths 12.6656, 5.6989, 8.0716 Å; angles 90.00, 108.38, 90.00 degrees
Space group C2/m (No. 12)
Symmetry-distinct sites (fractional):
Y 0.0000 0.0000 0.0000 (multiplicity 2)
Y 0.1662 0.5000 0.8186 (multiplicity 4)
Y 0.1700 0.5000 0.3465 (multiplicity 4)
Sn 0.0000 0.5000 0.0000 (multiplicity 2)
S 0.0000 0.5000 0.5000 (multiplicity 2)
S 0.1681 0.0000 0.3337 (multiplicity 4)
S 0.1737 0.0000 0.8428 (multiplicity 4)

[3]
YZnSnS2 | PBE | relaxed

Properties
E_tot (eV/cell): -20.6
E_form (uncorrected) (eV/atom): -0.118
Total magnetization (μB per formula unit): 0.00
N(E_F) (states/eV/f.u.): 3.1

Cell lengths 5.1607, 5.1607, 6.2088 Å; angles 90.00, 90.00, 90.00 degrees
Space group P4/mmm (No. 123)
Symmetry-distinct sites (fractional):
Y 0.0000 0.0000 0.0000 (multiplicity 1)
Zn 0.5000 0.5000 0.5000 (multiplicity 1)
Sn 0.0000 0.0000 0.5000 (multiplicity 1)
S 0.0000 0.5000 0.0000 (multiplicity 2)

[4]
Zn2SnS4 | PBE | relaxed

Properties
E_tot (eV/cell): -27.1
E_form (uncorrected) (eV/atom): -0.581
Total magnetization (μB per formula unit): 0.00

Cell lengths 5.4640, 5.4640, 5.3623 Å; angles 90.00, 90.00, 90.00 degrees
Space group P-42m (No. 111)
Symmetry-distinct sites (fractional):
Zn 0.0000 0.5000 0.0000 (multiplicity 2)
Sn 0.0000 0.0000 0.5000 (multiplicity 1)
S 0.2657 0.2657 0.7456 (multiplicity 4)

[5]
ZnSnS2 | PBE | relaxed

Properties
E_tot (eV/cell): -61.0
E_form (uncorrected) (eV/atom): -0.432
Total magnetization (μB per formula unit): 0.00
N(E_F) (states/eV/f.u.): 0.0

Cell lengths 6.3809, 6.3809, 10.0264 Å; angles 90.00, 90.00, 90.00 degrees
Space group I-42d (No. 122)
Symmetry-distinct sites (fractional):
Zn 0.0000 0.0000 0.0000 (multiplicity 4)
Sn 0.0000 0.0000 0.5000 (multiplicity 4)
S 0.1910 0.2500 0.1250 (multiplicity 8)

[6]
ZnSn3S | PBE | relaxed

Properties
E_tot (eV/cell): -15.4
Energy relative to the lowest polymorph listed for this composition (eV/f.u.): 0.000
E_form (uncorrected) (eV/atom): 0.403
Total magnetization (μB per formula unit): 0.00
N(E_F) (states/eV/f.u.): 3.3

Cell lengths 5.3605, 5.3605, 5.3605 Å; angles 90.00, 90.00, 90.00 degrees
Space group Pm-3m (No. 221)
Symmetry-distinct sites (fractional):
Zn 0.0000 0.0000 0.0000 (multiplicity 1)
Sn 0.0000 0.5000 0.5000 (multiplicity 3)
S 0.5000 0.5000 0.5000 (multiplicity 1)

E_form (uncorrected) of number 4 (Zn2SnS4)? -0.581 eV/atom